VASP calculation (PBE) on an optimized crystal structure of MgFe2As.

Unit cell a=7.0419 b=7.0419 c=5.2157 alpha=90.00 beta=90.00 gamma=90.00
With the nearest neighbours (Å) after each atom.
Space group I-42d (No. 122)
Symmetry-distinct sites (fractional):
Mg 0.0000 0.0000 0.0000 [4 per cell]  2 As 2.61, 4 Fe 2.79
Fe 0.2074 0.7500 0.6250 [8 per cell]  2 As 2.38
As 0.0000 0.0000 0.5000 [4 per cell]  4 Fe 2.38, 2 Mg 2.61

Properties
The total energy comes out at -87.312 eV/cell. Its formation enthalpy at 0 K is 0.3354 eV per atom.